Compound: Rb4Th3PdS8
Source: the Alexandria database
Functional: PBE-GGA
Structure: relaxed

Lattice parameters (Å, degrees): 14.6138 8.3240 9.0713 90.00 122.21 90.00
Space group C2/m (No. 12)
Inequivalent atoms, fractional coordinates:
Rb 0.0000 0.0000 0.0000 x2
Rb 0.0000 0.5000 0.0000 x2
Rb 0.2500 0.2500 0.0000 x4
Th 0.0000 0.0000 0.5000 x2
Th 0.2500 0.2500 0.5000 x4
Pd 0.0000 0.5000 0.5000 x2
S 0.0242 0.2410 0.3102 x8
S 0.2329 0.0000 0.7016 x4
S 0.2449 0.5000 0.6983 x4

Values from the calculation:
**Raw total energy**: -5.503 eV per atom
**ΔE_f (raw)**: -1.48 eV per atom